[1]
This record from Alexandria via LeMat-Bulk describes a relaxed structure of PmEr2Sc3. The functional is PBE.

- volume (Å³ per cell) = 337
- electronic total energy (eV per cell) = -64.9
- DFT formation energy (eV per formula unit) = 0.402

a b c (Å): 5.951 3.441 16.571
angles (deg): 90.00 96.87 90.00
Space group P2_1/m (No. 11)
One atom of each set of equivalent atoms:
Pm (0.028, 0.250, 0.332) (multiplicity 2)
Er (0.250, 0.250, 0.000) (multiplicity 2)
Er (0.473, 0.250, 0.667) (multiplicity 2)
Sc (0.140, 0.750, 0.165) (multiplicity 2)
Sc (0.253, 0.750, 0.501) (multiplicity 2)
Sc (0.362, 0.750, 0.834) (multiplicity 2)

[2]
This record from Alexandria via LeMat-Bulk describes a relaxed structure of ScBe4V. The functional is PBE.

- volume (Å³ per cell) = 274
- electronic total energy (eV per cell) = -123.8
- DFT formation energy (eV per formula unit) = -0.591

a b c (Å): 6.491 6.491 6.491
angles (deg): 90.00 90.00 90.00
Space group F-43m (No. 216)
One atom of each set of equivalent atoms:
Sc (0.000, 0.000, 0.000) (multiplicity 4)
Be (0.123, 0.123, 0.623) (multiplicity 16)
V (0.250, 0.250, 0.250) (multiplicity 4)